# 1
The following is a DFT calculation (PBE) of a relaxed AgBN2O crystal.

a b c (Å): 4.0914 4.0914 4.1978
angles (deg): 90.00 90.00 90.00
Each line ends with the local moment (μB).
Fractional coordinates of all 5 atoms:
Ag  0.0000  0.0000  0.0000  0.13
B  0.5000  0.5000  0.5000  0.00
N  0.5000  0.0000  0.0000  1.07
N  0.0000  0.5000  0.0000  1.07
O  0.0000  0.0000  0.5000  0.36

Fermi-level density of states: 1.89 states/eV/cell
ΔE_f (raw): 13.44 eV per formula unit
Total magnetization: 3.54 μB per formula unit
V: 70.3 Å³ per cell


# 2
The following is a DFT calculation (PBE) of a relaxed AgBN2O crystal.

a b c (Å): 3.0528 3.0528 6.1214
angles (deg): 90.00 90.00 90.00
Each line ends with the local moment (μB).
Fractional coordinates of all 5 atoms:
Ag  0.5000  0.5000  0.5000  0.01
N  0.0000  0.5000  0.0000  0.14
N  0.5000  0.0000  0.0000  0.14
B  0.0000  0.0000  0.0000  -0.01
O  0.0000  0.0000  0.5000  0.01

Fermi-level density of states: 3.90 states/eV/cell
ΔE_f (raw): 4.36 eV per formula unit
Total magnetization: 0.41 μB per formula unit
V: 57.0 Å³ per cell


# 3
The following is a DFT calculation (PBE) of a relaxed AgBNO2 crystal.

a b c (Å): 3.9800 3.9800 2.8763
angles (deg): 90.00 90.00 90.00
Fractional coordinates of all 5 atoms:
O  0.5000  0.0000  0.0000
O  0.0000  0.5000  0.0000
Ag  0.5000  0.5000  0.5000
N  0.0000  0.0000  0.5000
B  0.0000  0.0000  0.0000

Fermi-level density of states: 5.96 states/eV/cell
ΔE_f (raw): 2.40 eV per formula unit
Total magnetization: 0.00 μB per formula unit
V: 45.6 Å³ per cell


# 4
The following is a DFT calculation (PBE) of a relaxed AgBNO2 crystal.

a b c (Å): 4.1187 4.1187 4.0603
angles (deg): 90.00 90.00 90.00
Each line ends with the local moment (μB).
Fractional coordinates of all 5 atoms:
Ag  0.0000  0.0000  0.0000  0.13
O  0.0000  0.5000  0.0000  0.40
O  0.5000  0.0000  0.0000  0.40
B  0.5000  0.5000  0.5000  0.00
N  0.0000  0.0000  0.5000  1.13

Fermi-level density of states: 4.06 states/eV/cell
ΔE_f (raw): 10.31 eV per formula unit
Total magnetization: 2.63 μB per formula unit
V: 68.9 Å³ per cell